A plane-wave DFT calculation with PBE was carried out for Ba2Tl2Te2S after structural relaxation.

```
Ba2Tl2Te2S
1.0
4.402 0.000 0.000
0.002 8.393 0.000
2.188 2.590 7.989
Ba Tl Te S
2 2 2 1
direct
0.008 0.247 0.485
0.992 0.753 0.515
0.275 0.232 0.947
0.725 0.768 0.053
0.371 0.938 0.759
0.629 0.062 0.241
0.500 0.500 0.500
```

Properties
Fermi-level density of states: 0.0 states/eV per cell
energy relative to the elements, uncorrected: -7.730 eV/f.u.